1.
First-principles (PBEsol) data for TlInHg4 after structural relaxation, as listed in the Alexandria database.

Cell and atoms, written as POSCAR:
```
TlInHg4
1.0
0.000 4.237 4.237
4.237 0.000 4.237
4.237 4.237 0.000
Tl In Hg
1 1 4
Direct
0.000 0.000 0.000
0.250 0.250 0.250
0.125 0.625 0.625
0.625 0.125 0.625
0.625 0.625 0.125
0.625 0.625 0.625
```

Space-group type = No. 216
DOS at the Fermi energy = 0.462 states/eV per atom
Formation energy from the elements = 0.035 eV/atom



2.
First-principles (PBEsol) data for Tl2InHg after structural relaxation, as listed in the Alexandria database.

Cell and atoms, written as POSCAR:
```
Tl2InHg
1.0
3.661 0.000 0.000
0.000 5.351 0.000
0.000 0.000 5.367
Tl In Hg
2 1 1
Direct
0.000 0.000 0.000
0.500 0.000 0.500
0.000 0.500 0.500
0.500 0.500 0.000
```

Space-group type = No. 47
DOS at the Fermi energy = 0.540 states/eV per atom
Formation energy from the elements = 0.012 eV/atom



3.
First-principles (PBEsol) data for Tl2InHg after structural relaxation, as listed in the Alexandria database.

Cell and atoms, written as POSCAR:
```
Tl2InHg
1.0
3.222 0.000 0.000
0.000 5.276 0.000
-1.531 0.000 6.190
Tl In Hg
2 1 1
Direct
0.000 0.000 0.000
0.351 0.500 0.711
0.739 0.000 0.481
0.597 0.500 0.219
```

Space-group type = No. 6
DOS at the Fermi energy = 0.421 states/eV per atom
Formation energy from the elements = -0.005 eV/atom



4.
First-principles (PBEsol) data for TlInHg2 after structural relaxation, as listed in the Alexandria database.

Cell and atoms, written as POSCAR:
```
TlInHg2
1.0
3.136 0.000 0.000
0.000 5.264 0.000
-0.023 0.000 6.147
Tl In Hg
1 1 2
Direct
0.000 0.000 0.000
0.492 0.500 0.742
0.498 0.000 0.498
0.504 0.500 0.239
```

Space-group type = No. 6
DOS at the Fermi energy = 0.425 states/eV per atom
Formation energy from the elements = -0.004 eV/atom